This record from Alexandria via LeMat-Bulk describes a relaxed WS3N crystal. The functional is PBE-GGA.

abc: 4.6821 4.6821 4.6821
angles: 90.00 90.00 90.00
Closest atoms and distances in Å follow each position.
Fractional coordinates of all 5 atoms:
S1 0.0000 0.5000 0.0000  2 W 2.34
S2 0.0000 0.0000 0.5000  2 W 2.34
S3 0.5000 0.0000 0.0000  2 W 2.34
W1 0.0000 0.0000 0.0000  6 S 2.34
N1 0.5000 0.5000 0.5000  12 S 3.31

Computed properties:
Formation energy without anion corrections = 5.17 eV per formula unit
ΔE to the lowest computed polymorph = 0 meV per atom

This record from Alexandria via LeMat-Bulk describes a relaxed Ti8Ga3Ir2 crystal. The functional is PBE-GGA.

abc: 4.5352 6.9941 8.4426
angles: 114.47 99.52 90.00
Closest atoms and distances in Å follow each position.
Fractional coordinates of all 13 atoms:
Ti1 0.1249 0.6701 0.3401  2 Ir 2.54-2.57
Ti2 0.8751 0.3299 0.6599  2 Ir 2.54-2.57
Ti3 0.0537 0.0971 0.1942  1 Ir 2.47, 4 Ga 2.68-2.72
Ti4 0.9463 0.9029 0.8058  1 Ir 2.47, 4 Ga 2.68-2.72
Ti5 0.4108 0.6337 0.7072  2 Ir 2.49-2.67, 1 Ga 2.69
Ti6 0.4108 0.0735 0.7072  2 Ir 2.49-2.67, 1 Ga 2.69
Ti7 0.5892 0.9265 0.2928  2 Ir 2.49-2.67, 1 Ga 2.69
Ti8 0.5892 0.3663 0.2928  2 Ir 2.49-2.67, 1 Ga 2.69
Ga1 0.5000 0.0000 0.0000  8 Ti 2.68-2.72
Ga2 0.0000 0.3217 0.0000  1 Ga 2.49, 2 Ti 2.69
Ga3 0.0000 0.6783 0.0000  1 Ga 2.49, 2 Ti 2.69
Ir1 0.3234 0.2519 0.5037  7 Ti 2.47-2.67
Ir2 0.6766 0.7481 0.4963  7 Ti 2.47-2.67

Computed properties:
E_form = -0.183 eV/atom

In the order shown, the computed calculated volume values come out to 103 240 Å³ per cell.